--- one ---
Material: ZnIn2TcMo
Method: DFT, PBE
State: optimized geometry

Computed properties:
Spin magnetization ... 4.580 μB/cell
Crystal system ... tetragonal
Space group ... P4/mmm (123)
Volume ... 125.3 Å³/cell

```
data_ZnIn2TcMo
_symmetry_space_group_name_H-M 'P 1'
_symmetry_Int_Tables_number 1
_cell_length_a 5.0973
_cell_length_b 5.0973
_cell_length_c 4.8221
_cell_angle_alpha 90.00
_cell_angle_beta 90.00
_cell_angle_gamma 90.00
loop_
_symmetry_equiv_pos_as_xyz
'x,y,z'
loop_
_atom_site_label
_atom_site_fract_x
_atom_site_fract_y
_atom_site_fract_z
_atom_site_occupancy
Zn1 0.0000 0.0000 0.0000 1
In1 0.0000 0.5000 0.5000 1
In2 0.5000 0.0000 0.5000 1
Tc1 0.0000 0.0000 0.5000 1
Mo1 0.5000 0.5000 0.0000 1
```



--- two ---
Material: ZnIn2TcMo
Method: DFT, PBE
State: optimized geometry

Computed properties:
Spin magnetization ... 2.156 μB/cell
Crystal system ... tetragonal
Space group ... P4/mmm (123)
Volume ... 130.9 Å³/cell

```
data_ZnIn2TcMo
_symmetry_space_group_name_H-M 'P 1'
_symmetry_Int_Tables_number 1
_cell_length_a 5.2551
_cell_length_b 5.2551
_cell_length_c 4.7391
_cell_angle_alpha 90.00
_cell_angle_beta 90.00
_cell_angle_gamma 90.00
loop_
_symmetry_equiv_pos_as_xyz
'x,y,z'
loop_
_atom_site_label
_atom_site_fract_x
_atom_site_fract_y
_atom_site_fract_z
_atom_site_occupancy
Zn1 0.0000 0.0000 0.0000 1
In1 0.0000 0.5000 0.5000 1
In2 0.5000 0.0000 0.5000 1
Tc1 0.5000 0.5000 0.5000 1
Mo1 0.5000 0.5000 0.0000 1
```



Most favorable structure: two. The second most favorable one is 282 meV/atom above it.



--- one ---
Material: InTeMo2
Method: DFT, PBE
State: optimized geometry

Computed properties:
Spin magnetization ... 0.000 μB/cell
Crystal system ... monoclinic
Space group ... Cm (8)
Volume ... 155.8 Å³/cell

```
data_InTeMo2
_symmetry_space_group_name_H-M 'P 1'
_symmetry_Int_Tables_number 1
_cell_length_a 10.0014
_cell_length_b 3.3063
_cell_length_c 5.0743
_cell_angle_alpha 90.00
_cell_angle_beta 111.81
_cell_angle_gamma 90.00
loop_
_symmetry_equiv_pos_as_xyz
'x,y,z'
loop_
_atom_site_label
_atom_site_fract_x
_atom_site_fract_y
_atom_site_fract_z
_atom_site_occupancy
In1 0.0000 0.0000 0.0000 1
In2 0.5000 0.5000 0.0000 1
Te1 0.2832 0.5000 0.3449 1
Te2 0.7832 0.0000 0.3449 1
Mo1 0.0472 0.5000 0.5325 1
Mo2 0.2433 0.0000 0.8532 1
Mo3 0.5472 0.0000 0.5325 1
Mo4 0.7433 0.5000 0.8532 1
```



--- two ---
Material: InTeMo2
Method: DFT, PBE
State: optimized geometry

Computed properties:
Spin magnetization ... 0.002 μB/cell
Crystal system ... orthorhombic
Space group ... Immm (71)
Volume ... 154.4 Å³/cell

```
data_InTeMo2
_symmetry_space_group_name_H-M 'P 1'
_symmetry_Int_Tables_number 1
_cell_length_a 3.3631
_cell_length_b 5.1503
_cell_length_c 8.9123
_cell_angle_alpha 90.00
_cell_angle_beta 90.00
_cell_angle_gamma 90.00
loop_
_symmetry_equiv_pos_as_xyz
'x,y,z'
loop_
_atom_site_label
_atom_site_fract_x
_atom_site_fract_y
_atom_site_fract_z
_atom_site_occupancy
In1 0.0000 0.0000 0.0000 1
In2 0.5000 0.5000 0.5000 1
Te1 0.0000 0.0000 0.5000 1
Te2 0.5000 0.5000 0.0000 1
Mo1 0.0000 0.5000 0.2373 1
Mo2 0.0000 0.5000 0.7627 1
Mo3 0.5000 0.0000 0.2627 1
Mo4 0.5000 0.0000 0.7373 1
```



Most favorable structure: one. The second most favorable one is 268 meV/atom above it.



--- one ---
Material: InTeMo
Method: DFT, PBE
State: optimized geometry

Computed properties:
Spin magnetization ... 0.000 μB/cell
Crystal system ... hexagonal
Space group ... P-6m2 (187)
Volume ... 64.0 Å³/cell

```
data_InTeMo
_symmetry_space_group_name_H-M 'P 1'
_symmetry_Int_Tables_number 1
_cell_length_a 4.9030
_cell_length_b 4.9030
_cell_length_c 3.0760
_cell_angle_alpha 90.00
_cell_angle_beta 90.00
_cell_angle_gamma 120.00
loop_
_symmetry_equiv_pos_as_xyz
'x,y,z'
loop_
_atom_site_label
_atom_site_fract_x
_atom_site_fract_y
_atom_site_fract_z
_atom_site_occupancy
In1 0.0000 0.0000 0.0000 1
Te1 0.6667 0.3333 0.5000 1
Mo1 0.3333 0.6667 0.5000 1
```



--- two ---
Material: InTeMo
Method: DFT, PBE
State: optimized geometry

Computed properties:
Spin magnetization ... 0.005 μB/cell
Crystal system ... orthorhombic
Space group ... Fmm2 (42)
Volume ... 279.5 Å³/cell

```
data_InTeMo
_symmetry_space_group_name_H-M 'P 1'
_symmetry_Int_Tables_number 1
_cell_length_a 3.3721
_cell_length_b 5.2038
_cell_length_c 15.9259
_cell_angle_alpha 90.00
_cell_angle_beta 90.00
_cell_angle_gamma 90.00
loop_
_symmetry_equiv_pos_as_xyz
'x,y,z'
loop_
_atom_site_label
_atom_site_fract_x
_atom_site_fract_y
_atom_site_fract_z
_atom_site_occupancy
In1 0.0000 0.0000 0.0000 1
In2 0.0000 0.5000 0.5000 1
In3 0.5000 0.0000 0.5000 1
In4 0.5000 0.5000 0.0000 1
Te1 0.0000 0.0000 0.2847 1
Te2 0.0000 0.5000 0.7847 1
Te3 0.5000 0.0000 0.7847 1
Te4 0.5000 0.5000 0.2847 1
Mo1 0.0000 0.0000 0.6505 1
Mo2 0.0000 0.5000 0.1505 1
Mo3 0.5000 0.0000 0.1505 1
Mo4 0.5000 0.5000 0.6505 1
```



Most favorable structure: two. The second most favorable one is 45 meV/atom above it.



--- one ---
Material: In3TeMo
Method: DFT, PBE
State: optimized geometry

Computed properties:
Spin magnetization ... 2.915 μB/cell
Crystal system ... cubic
Space group ... Pm-3m (221)
Volume ... 158.0 Å³/cell

```
data_In3TeMo
_symmetry_space_group_name_H-M 'P 1'
_symmetry_Int_Tables_number 1
_cell_length_a 5.4061
_cell_length_b 5.4061
_cell_length_c 5.4061
_cell_angle_alpha 90.00
_cell_angle_beta 90.00
_cell_angle_gamma 90.00
loop_
_symmetry_equiv_pos_as_xyz
'x,y,z'
loop_
_atom_site_label
_atom_site_fract_x
_atom_site_fract_y
_atom_site_fract_z
_atom_site_occupancy
In1 0.0000 0.0000 0.5000 1
In2 0.0000 0.5000 0.0000 1
In3 0.5000 0.0000 0.0000 1
Te1 0.5000 0.5000 0.5000 1
Mo1 0.0000 0.0000 0.0000 1
```



--- two ---
Material: In3TeMo
Method: DFT, PBE
State: optimized geometry

Computed properties:
Spin magnetization ... 4.627 μB/cell
Crystal system ... cubic
Space group ... Pm-3m (221)
Volume ... 197.8 Å³/cell

```
data_In3TeMo
_symmetry_space_group_name_H-M 'P 1'
_symmetry_Int_Tables_number 1
_cell_length_a 5.8265
_cell_length_b 5.8265
_cell_length_c 5.8265
_cell_angle_alpha 90.00
_cell_angle_beta 90.00
_cell_angle_gamma 90.00
loop_
_symmetry_equiv_pos_as_xyz
'x,y,z'
loop_
_atom_site_label
_atom_site_fract_x
_atom_site_fract_y
_atom_site_fract_z
_atom_site_occupancy
In1 0.0000 0.0000 0.5000 1
In2 0.0000 0.5000 0.0000 1
In3 0.5000 0.0000 0.0000 1
Te1 0.0000 0.0000 0.0000 1
Mo1 0.5000 0.5000 0.5000 1
```



Most favorable structure: one. The second most favorable one is 744 meV/atom above it.



--- one ---
Material: TlIn2Mo
Method: DFT, PBE
State: optimized geometry

Computed properties:
Spin magnetization ... 0.302 μB/cell
Crystal system ... tetragonal
Space group ... P4mm (99)
Volume ... 86.6 Å³/cell

```
data_TlIn2Mo
_symmetry_space_group_name_H-M 'P 1'
_symmetry_Int_Tables_number 1
_cell_length_a 3.7937
_cell_length_b 3.7937
_cell_length_c 6.0202
_cell_angle_alpha 90.00
_cell_angle_beta 90.00
_cell_angle_gamma 90.00
loop_
_symmetry_equiv_pos_as_xyz
'x,y,z'
loop_
_atom_site_label
_atom_site_fract_x
_atom_site_fract_y
_atom_site_fract_z
_atom_site_occupancy
Tl1 0.0000 0.0000 0.0000 1
In1 0.0000 0.0000 0.5295 1
In2 0.5000 0.5000 0.2603 1
Mo1 0.5000 0.5000 0.7488 1
```



--- two ---
Material: TlIn2Mo
Method: DFT, PBE
State: optimized geometry

Computed properties:
Spin magnetization ... 0.473 μB/cell
Crystal system ... tetragonal
Space group ... P4/mmm (123)
Volume ... 91.8 Å³/cell

```
data_TlIn2Mo
_symmetry_space_group_name_H-M 'P 1'
_symmetry_Int_Tables_number 1
_cell_length_a 3.0881
_cell_length_b 3.0881
_cell_length_c 9.6253
_cell_angle_alpha 90.00
_cell_angle_beta 90.00
_cell_angle_gamma 90.00
loop_
_symmetry_equiv_pos_as_xyz
'x,y,z'
loop_
_atom_site_label
_atom_site_fract_x
_atom_site_fract_y
_atom_site_fract_z
_atom_site_occupancy
Tl1 0.0000 0.0000 0.0000 1
In1 0.5000 0.5000 0.2913 1
In2 0.5000 0.5000 0.7087 1
Mo1 0.0000 0.0000 0.5000 1
```



--- three ---
Material: TlIn2Mo
Method: DFT, PBE
State: optimized geometry

Computed properties:
Spin magnetization ... 1.910 μB/cell
Crystal system ... tetragonal
Space group ... I4/mmm (139)
Volume ... 169.4 Å³/cell

```
data_TlIn2Mo
_symmetry_space_group_name_H-M 'P 1'
_symmetry_Int_Tables_number 1
_cell_length_a 4.2603
_cell_length_b 4.2603
_cell_length_c 9.3330
_cell_angle_alpha 90.00
_cell_angle_beta 90.00
_cell_angle_gamma 90.00
loop_
_symmetry_equiv_pos_as_xyz
'x,y,z'
loop_
_atom_site_label
_atom_site_fract_x
_atom_site_fract_y
_atom_site_fract_z
_atom_site_occupancy
Tl1 0.0000 0.0000 0.0000 1
Tl2 0.5000 0.5000 0.5000 1
In1 0.0000 0.5000 0.2500 1
In2 0.0000 0.5000 0.7500 1
In3 0.5000 0.0000 0.2500 1
In4 0.5000 0.0000 0.7500 1
Mo1 0.0000 0.0000 0.5000 1
Mo2 0.5000 0.5000 0.0000 1
```



Most favorable structure: two. The second most favorable one is 96 meV/atom above it.



--- one ---
Material: TlIn2Mo
Method: DFT, PBE
State: optimized geometry

Computed properties:
Spin magnetization ... 0.000 μB/cell
Crystal system ... monoclinic
Space group ... C2/m (12)
Volume ... 175.1 Å³/cell

```
data_TlIn2Mo
_symmetry_space_group_name_H-M 'P 1'
_symmetry_Int_Tables_number 1
_cell_length_a 11.0137
_cell_length_b 3.0563
_cell_length_c 5.2711
_cell_angle_alpha 90.00
_cell_angle_beta 99.32
_cell_angle_gamma 90.00
loop_
_symmetry_equiv_pos_as_xyz
'x,y,z'
loop_
_atom_site_label
_atom_site_fract_x
_atom_site_fract_y
_atom_site_fract_z
_atom_site_occupancy
Tl1 0.0000 0.0000 0.0000 1
Tl2 0.5000 0.5000 0.0000 1
In1 0.2275 0.0000 0.7308 1
In2 0.2725 0.5000 0.2692 1
In3 0.7275 0.5000 0.7308 1
In4 0.7725 0.0000 0.2692 1
Mo1 0.0000 0.5000 0.5000 1
Mo2 0.5000 0.0000 0.5000 1
```



--- two ---
Material: TlIn2Mo
Method: DFT, PBE
State: optimized geometry

Computed properties:
Spin magnetization ... 0.112 μB/cell
Crystal system ... tetragonal
Space group ... P4/mmm (123)
Volume ... 86.5 Å³/cell

```
data_TlIn2Mo
_symmetry_space_group_name_H-M 'P 1'
_symmetry_Int_Tables_number 1
_cell_length_a 3.7592
_cell_length_b 3.7592
_cell_length_c 6.1182
_cell_angle_alpha 90.00
_cell_angle_beta 90.00
_cell_angle_gamma 90.00
loop_
_symmetry_equiv_pos_as_xyz
'x,y,z'
loop_
_atom_site_label
_atom_site_fract_x
_atom_site_fract_y
_atom_site_fract_z
_atom_site_occupancy
Tl1 0.0000 0.0000 0.0000 1
In1 0.5000 0.5000 0.2719 1
In2 0.5000 0.5000 0.7281 1
Mo1 0.0000 0.0000 0.5000 1
```



Most favorable structure: two. The second most favorable one is 59 meV/atom above it.